# LaMoP (GGA-PBE, optimized geometry)
# Magnetic moment in μB per formula unit: 0.00
# D(E_F) in states/eV/cell: 8.4
# E above lowest polymorph in meV per atom: 733
# DFT total energy in eV/cell: -84.823
# Energy of formation in kJ/mol of formula units: -4
data_LaMoP
_chemical_formula_sum 'La4 Mo4 P4'
_symmetry_space_group_name_H-M 'F -4 3 m'
_symmetry_Int_Tables_number 216
_symmetry_space_group_name_Hall 'F -4 2 3'
_cell_length_a 6.4587
_cell_length_b 6.4587
_cell_length_c 6.4587
_cell_angle_alpha 90.00
_cell_angle_beta 90.00
_cell_angle_gamma 90.00
loop_
_atom_site_label
_atom_site_fract_x
_atom_site_fract_y
_atom_site_fract_z
La1 0.0000 0.0000 0.0000
Mo1 0.0000 0.0000 0.5000
P1 0.2500 0.2500 0.7500

# Ni4Te8Pd (GGA-PBE, optimized geometry)
# Magnetic moment in μB per formula unit: 0.00
# D(E_F) in states/eV/cell: 16.6
# Energy relative to the elements, uncorrected in eV per atom: -0.187
# DFT total energy in eV/cell: -111.776
data_Ni4Te8Pd
_chemical_formula_sum 'Ni8 Te16 Pd2'
_symmetry_space_group_name_H-M 'C 1 2/m 1'
_symmetry_Int_Tables_number 12
_cell_length_a 13.2155
_cell_length_b 7.5992
_cell_length_c 7.6742
_cell_angle_alpha 90.00
_cell_angle_beta 124.79
_cell_angle_gamma 90.00
loop_
_symmetry_equiv_pos_as_xyz
'x,y,z'
'-x,-y,-z'
'-x,y,-z'
'x,-y,z'
'x+1/2,y+1/2,z'
'-x+1/2,-y+1/2,-z'
'-x+1/2,y+1/2,-z'
'x+1/2,-y+1/2,z'
loop_
_atom_site_label
_atom_site_fract_x
_atom_site_fract_y
_atom_site_fract_z
Ni1 0.0000 0.0000 0.0000
Ni2 0.0000 0.5000 0.0000
Ni3 0.2500 0.2500 0.0000
Te1 0.0126 0.2457 0.7809
Te2 0.2371 0.0000 0.2141
Te3 0.2429 0.5000 0.2201
Pd1 0.0000 0.0000 0.5000

# La2SnI2 (GGA-PBE, optimized geometry)
# Magnetic moment in μB per formula unit: 0.00
# D(E_F) in states/eV/cell: 6.5
# Energy relative to the elements, uncorrected in eV per atom: -0.979
# DFT total energy in eV/cell: -87.413
data_La2SnI2
_chemical_formula_sum 'La8 Sn4 I8'
_symmetry_space_group_name_H-M 'C m c 21'
_symmetry_Int_Tables_number 36
_cell_length_a 4.3419
_cell_length_b 15.6830
_cell_length_c 11.2290
_cell_angle_alpha 90.00
_cell_angle_beta 90.00
_cell_angle_gamma 90.00
loop_
_symmetry_equiv_pos_as_xyz
'x,y,z'
'-x,-y,z+1/2'
'-x,y,z'
'x,-y,z+1/2'
'x+1/2,y+1/2,z'
'-x+1/2,-y+1/2,z+1/2'
'-x+1/2,y+1/2,z'
'x+1/2,-y+1/2,z+1/2'
loop_
_atom_site_label
_atom_site_fract_x
_atom_site_fract_y
_atom_site_fract_z
La1 0.0000 0.0358 0.0000
La2 0.0000 0.2419 0.2653
Sn1 0.0000 0.3294 0.5712
I1 0.0000 0.0960 0.7314
I2 0.0000 0.3811 0.9239

# Ac10In3Sn3 (GGA-PBE, optimized geometry)
# Magnetic moment in μB per formula unit: 0.00
# D(E_F) in states/eV/cell: 18.3
# DFT total energy in eV/cell: -68.666
# Energy of formation in kJ/mol of formula units: -710
data_Ac10In3Sn3
_chemical_formula_sum 'Ac10 In3 Sn3'
_symmetry_space_group_name_H-M 'P -6 2 m'
_symmetry_Int_Tables_number 189
_symmetry_space_group_name_Hall 'P -6 -2'
_cell_length_a 9.8418
_cell_length_b 9.8418
_cell_length_c 7.4183
_cell_angle_alpha 90.00
_cell_angle_beta 90.00
_cell_angle_gamma 120.00
loop_
_atom_site_label
_atom_site_fract_x
_atom_site_fract_y
_atom_site_fract_z
Ac1 0.0000 0.2431 0.0000
Ac2 0.0000 0.7546 0.5000
Ac3 0.3333 0.6667 0.2524
In1 0.0000 0.5994 0.0000
Sn1 0.0000 0.3947 0.5000

# Pr12AgSn4N3 (GGA-PBE, optimized geometry)
# Magnetic moment in μB per formula unit: 0.00
# D(E_F) in states/eV/cell: 26.1
# Energy relative to the elements, uncorrected in eV per atom: -0.671
# DFT total energy in eV/cell: -229.223
data_Pr12AgSn4N3
_chemical_formula_sum 'Pr24 Ag2 Sn8 N6'
_symmetry_space_group_name_H-M 'I m -3 m'
_symmetry_Int_Tables_number 229
_symmetry_space_group_name_Hall '-I 4 2 3'
_cell_length_a 10.4047
_cell_length_b 10.4047
_cell_length_c 10.4047
_cell_angle_alpha 90.00
_cell_angle_beta 90.00
_cell_angle_gamma 90.00
loop_
_atom_site_label
_atom_site_fract_x
_atom_site_fract_y
_atom_site_fract_z
Pr1 0.0000 0.0000 0.2724
Pr2 0.0000 0.2500 0.5000
Ag1 0.0000 0.0000 0.0000
Sn1 0.2500 0.2500 0.2500
N1 0.0000 0.0000 0.5000

# SbSeBr3 (GGA-PBE, optimized geometry)
# Magnetic moment in μB per formula unit: 2.06
# D(E_F) in states/eV/cell: 6.7
# Energy relative to the elements, uncorrected in eV per atom: 0.105
# E above lowest polymorph in meV per atom: 474
# DFT total energy in eV/cell: -12.099
data_SbSeBr3
_chemical_formula_sum 'Sb1 Se1 Br3'
_symmetry_space_group_name_H-M 'P m -3 m'
_symmetry_Int_Tables_number 221
_symmetry_space_group_name_Hall '-P 4 2 3'
_cell_length_a 5.6069
_cell_length_b 5.6069
_cell_length_c 5.6069
_cell_angle_alpha 90.00
_cell_angle_beta 90.00
_cell_angle_gamma 90.00
loop_
_atom_site_label
_atom_site_fract_x
_atom_site_fract_y
_atom_site_fract_z
Sb1 0.0000 0.0000 0.0000
Se1 0.5000 0.5000 0.5000
Br1 0.0000 0.0000 0.5000

# Ac2CeGa3Pt4 (GGA-PBE, optimized geometry)
# Magnetic moment in μB per formula unit: 0.35
# D(E_F) in states/eV/cell: 8.1
# DFT total energy in eV/cell: -56.969
# Energy of formation in kJ/mol of formula units: -924
data_Ac2CeGa3Pt4
_chemical_formula_sum 'Ac2 Ce1 Ga3 Pt4'
_symmetry_space_group_name_H-M 'P -4 m 2'
_symmetry_Int_Tables_number 115
_cell_length_a 4.5016
_cell_length_b 4.5016
_cell_length_c 11.0583
_cell_angle_alpha 90.00
_cell_angle_beta 90.00
_cell_angle_gamma 90.00
loop_
_symmetry_equiv_pos_as_xyz
'x,y,z'
'y,-x,-z'
'-x,-y,z'
'-y,x,-z'
'-x,y,z'
'-y,-x,-z'
'x,-y,z'
'y,x,-z'
loop_
_atom_site_label
_atom_site_fract_x
_atom_site_fract_y
_atom_site_fract_z
Ac1 0.0000 0.5000 0.2276
Ce1 0.0000 0.0000 0.5000
Ga1 0.0000 0.5000 0.8849
Ga2 0.5000 0.5000 0.5000
Pt1 0.0000 0.0000 0.0000
Pt2 0.0000 0.5000 0.6540
Pt3 0.5000 0.5000 0.0000

# PuInBiBr (GGA-PBE, optimized geometry)
# Magnetic moment in μB per formula unit: 5.52
# D(E_F) in states/eV/cell: 46.5
# Energy relative to the elements, uncorrected in eV per atom: -0.379
# DFT total energy in eV/cell: -96.564
data_PuInBiBr
_chemical_formula_sum 'Pu4 In4 Bi4 Br4'
_symmetry_space_group_name_H-M 'F -4 3 m'
_symmetry_Int_Tables_number 216
_symmetry_space_group_name_Hall 'F -4 2 3'
_cell_length_a 7.7723
_cell_length_b 7.7723
_cell_length_c 7.7723
_cell_angle_alpha 90.00
_cell_angle_beta 90.00
_cell_angle_gamma 90.00
loop_
_atom_site_label
_atom_site_fract_x
_atom_site_fract_y
_atom_site_fract_z
Pu1 0.0000 0.0000 0.0000
In1 0.0000 0.0000 0.5000
Bi1 0.2500 0.2500 0.2500
Br1 0.2500 0.2500 0.7500